Arrangement a

The following is a PBE calculation of a relaxed Ge2SN crystal, from the Alexandria database.

Calculated values
As for the space group: I-42d.

POSCAR file:
```
Ge2SN
1.0
-0.6742 -5.8211 1.3999
1.5474 1.1914 5.6996
-3.1707 -1.6928 4.3991
N Ge S
2 4 2
Cartesian
-0.5933 -1.4081 6.8242
0.4366 -2.3148 3.5497
-1.7122 -5.3963 9.1494
-1.9523 -2.9301 6.3237
0.0474 -0.7759 4.9259
-0.9778 -3.5427 2.5982
0.0000 0.0000 0.0000
-1.7041 -4.9144 4.6744
```

Arrangement b

The following is a PBE calculation of a relaxed Ge2SN crystal, from the Alexandria database.

Calculated values
As for the space group: Fm-3m.

POSCAR file:
```
Ge2SN
1.0
-0.1006 -2.1239 3.8000
1.6130 1.8734 3.5847
-2.6857 1.3217 3.1625
Ge N S
2 1 1
Cartesian
-0.8799 0.8033 7.9104
-0.2933 0.2678 2.6368
0.0000 0.0000 0.0000
-0.5866 0.5356 5.2736
```

Ranked by calculated energy, most stable first: arrangement a, arrangement b.

Arrangement a

The following is a PBE calculation of a relaxed GeSbS2N crystal, from the Alexandria database.

Calculated values
As for the space group: P4/mmm.

POSCAR file:
```
GeSbS2N
1.0
4.9678 0.0000 0.0000
0.0000 4.9678 0.0000
0.0000 0.0000 3.5854
S N Sb Ge
2 1 1 1
Cartesian
2.4839 0.0000 0.0000
0.0000 2.4839 0.0000
0.0000 0.0000 1.7927
2.4839 2.4839 1.7927
0.0000 0.0000 0.0000
```

Arrangement b

The following is a PBE calculation of a relaxed GeSbS2N crystal, from the Alexandria database.

Calculated values
As for the space group: P4/mmm.

POSCAR file:
```
GeSbS2N
1.0
5.0697 0.0000 0.0000
0.0000 5.5101 0.0000
0.0000 0.0000 5.0697
Ge S N Sb
1 2 1 1
Cartesian
0.0000 2.7551 0.0000
2.5348 0.0000 0.0000
0.0000 0.0000 2.5348
2.5348 2.7551 2.5348
0.0000 0.0000 0.0000
```

Ranked by calculated energy, most stable first: arrangement a, arrangement b.

Arrangement a

The following is a PBE calculation of a relaxed GeSbSN2 crystal, from the Alexandria database.

Calculated values
As for the space group: P4/mmm.

POSCAR file:
```
GeSbSN2
1.0
-2.6088 -2.8641 -0.0988
0.4091 -0.5044 3.8206
-3.5678 3.2218 0.8074
N S Ge Sb
2 1 1 1
Cartesian
0.2046 -0.2522 1.9103
-1.3044 -1.4321 -0.0494
-1.7839 1.6109 0.4037
0.0000 0.0000 0.0000
-2.8837 -0.0733 2.2646
```

Arrangement b

The following is a PBE calculation of a relaxed GeSbSN2 crystal, from the Alexandria database.

Calculated values
As for the space group: P4/mmm.

POSCAR file:
```
GeSbSN2
1.0
4.0090 0.0000 0.0000
0.0000 4.0090 0.0000
0.0000 0.0000 5.2347
Ge Sb N S
1 1 2 1
Cartesian
2.0045 2.0045 2.6173
0.0000 0.0000 0.0000
0.0000 2.0045 0.0000
2.0045 0.0000 0.0000
0.0000 0.0000 2.6173
```

Ranked by calculated energy, most stable first: arrangement a, arrangement b.

Arrangement a

The following is a PBE calculation of a relaxed ScGeS2N crystal, from the Alexandria database.

Calculated values
As for the space group: P4/mmm.

POSCAR file:
```
ScGeS2N
1.0
4.9985 0.0000 0.0000
0.0000 4.9985 0.0000
0.0000 0.0000 4.1073
N S Sc Ge
1 2 1 1
Cartesian
0.0000 0.0000 2.0536
2.4992 0.0000 0.0000
0.0000 2.4992 0.0000
0.0000 0.0000 0.0000
2.4992 2.4992 2.0536
```

Arrangement b

The following is a PBE calculation of a relaxed ScGeS2N crystal, from the Alexandria database.

Calculated values
As for the space group: P4/mmm.

POSCAR file:
```
ScGeS2N
1.0
-2.7486 -2.7477 -2.8360
-2.6634 -1.2611 3.8031
-2.1839 2.8036 -0.5997
S Sc Ge N
2 1 1 1
Cartesian
-1.3317 -0.6306 1.9016
-1.3743 -1.3739 -1.4180
-3.7979 -0.6026 0.1837
0.0000 0.0000 0.0000
-1.0919 1.4018 -0.2999
```

Arrangement c

The following is a PBE calculation of a relaxed ScGeS2N crystal, from the Alexandria database.

Calculated values
As for the space group: P4/mmm.

POSCAR file:
```
ScGeS2N
1.0
-0.3103 -1.2933 4.3237
4.1408 -3.4064 -0.7218
2.8948 3.2678 1.1852
N S Ge Sc
1 2 1 1
Cartesian
3.3627 -0.7160 2.3936
1.4474 1.6339 0.5926
-0.1551 -0.6467 2.1618
0.0000 0.0000 0.0000
2.0704 -1.7032 -0.3609
```

Ranked by calculated energy, most stable first: arrangement b, arrangement a, arrangement c.

Arrangement a

The following is a PBE calculation of a relaxed GeSeS2N crystal, from the Alexandria database.

Calculated values
As for the space group: P4/mmm.

POSCAR file:
```
GeSeS2N
1.0
-4.3814 -2.2193 -0.5685
2.1417 -3.5323 -2.7169
0.6155 -2.0083 3.0961
S Ge N Se
2 1 1 1
Cartesian
-2.1907 -1.1096 -0.2842
1.0708 -1.7661 -1.3585
-0.8121 -3.8799 -0.0946
0.3078 -1.0041 1.5481
0.0000 0.0000 0.0000
```

Arrangement b

The following is a PBE calculation of a relaxed GeSeS2N crystal, from the Alexandria database.

Calculated values
As for the space group: P4/mmm.

POSCAR file:
```
GeSeS2N
1.0
4.8924 0.0000 0.0000
0.0000 4.8924 0.0000
0.0000 0.0000 3.5702
S Ge N Se
2 1 1 1
Cartesian
0.0000 2.4462 0.0000
2.4462 0.0000 0.0000
0.0000 0.0000 0.0000
0.0000 0.0000 1.7851
2.4462 2.4462 1.7851
```

Ranked by calculated energy, most stable first: arrangement b, arrangement a.

Arrangement a

The following is a PBE calculation of a relaxed SiGeS2N crystal, from the Alexandria database.

Calculated values
As for the space group: P4/mmm.

POSCAR file:
```
SiGeS2N
1.0
-3.3244 3.3893 0.6106
-0.7072 -1.5024 4.4893
2.3679 2.1271 1.0849
Si Ge S N
1 1 2 1
Cartesian
0.0000 0.0000 0.0000
-0.8318 2.0070 3.0924
-1.6622 1.6946 0.3053
-0.3536 -0.7512 2.2447
1.1839 1.0635 0.5424
```

Arrangement b

The following is a PBE calculation of a relaxed SiGeS2N crystal, from the Alexandria database.

Calculated values
As for the space group: P4/mmm.

POSCAR file:
```
SiGeS2N
1.0
-1.7819 3.9934 2.0254
-3.0122 0.5439 -3.7224
-2.5006 -1.9943 1.7321
Si S Ge N
1 2 1 1
Cartesian
-3.6473 1.2715 0.0176
-1.5061 0.2720 -1.8612
-0.8910 1.9967 1.0127
0.0000 0.0000 0.0000
-1.2503 -0.9971 0.8660
```

Ranked by calculated energy, most stable first: arrangement a, arrangement b.

Arrangement a

The following is a PBE calculation of a relaxed SnGeS2N crystal, from the Alexandria database.

Calculated values
As for the space group: P4/mmm.

POSCAR file:
```
SnGeS2N
1.0
-3.5558 2.4754 2.6637
-1.0636 -4.2706 2.5490
2.7420 0.9660 2.7625
S N Ge Sn
2 1 1 1
Cartesian
-1.7779 1.2377 1.3319
-0.5318 -2.1353 1.2745
1.3710 0.4830 1.3813
-0.9387 -0.4146 3.9876
0.0000 0.0000 0.0000
```

Arrangement b

The following is a PBE calculation of a relaxed SnGeS2N crystal, from the Alexandria database.

Calculated values
As for the space group: P4/mmm.

POSCAR file:
```
SnGeS2N
1.0
4.9237 0.0000 0.0000
0.0000 4.9237 0.0000
0.0000 0.0000 3.7286
Ge Sn S N
1 1 2 1
Cartesian
0.0000 0.0000 0.0000
2.4619 2.4619 1.8643
2.4619 0.0000 0.0000
0.0000 2.4619 0.0000
0.0000 0.0000 1.8643
```

Ranked by calculated energy, most stable first: arrangement b, arrangement a.

Arrangement a

The following is a PBE calculation of a relaxed SnGeSN2 crystal, from the Alexandria database.

Calculated values
As for the space group: P4/mmm.

POSCAR file:
```
SnGeSN2
1.0
3.8978 0.0000 0.0000
0.0000 3.8978 0.0000
0.0000 0.0000 4.9938
N S Sn Ge
2 1 1 1
Cartesian
1.9489 0.0000 0.0000
0.0000 1.9489 0.0000
0.0000 0.0000 2.4969
1.9489 1.9489 2.4969
0.0000 0.0000 0.0000
```

Arrangement b

The following is a PBE calculation of a relaxed SnGeSN2 crystal, from the Alexandria database.

Calculated values
As for the space group: P4/mmm.

POSCAR file:
```
SnGeSN2
1.0
-2.3159 -2.6960 2.1032
-0.8817 -1.9834 -3.5133
4.2182 -3.0890 0.6853
Ge N Sn S
1 2 1 1
Cartesian
0.5103 -3.8842 -0.3624
-0.4408 -0.9917 -1.7567
-1.1579 -1.3480 1.0516
0.0000 0.0000 0.0000
2.1091 -1.5445 0.3426
```

Ranked by calculated energy, most stable first: arrangement a, arrangement b.

Arrangement a

The following is a PBE calculation of a relaxed GeTeSN2 crystal, from the Alexandria database.

Calculated values
As for the space group: P4/mmm.

POSCAR file:
```
GeTeSN2
1.0
3.9829 0.0000 0.0000
0.0000 3.9829 0.0000
0.0000 0.0000 5.3477
N Te S Ge
2 1 1 1
Cartesian
1.9915 0.0000 0.0000
0.0000 1.9915 0.0000
0.0000 0.0000 0.0000
0.0000 0.0000 2.6739
1.9915 1.9915 2.6739
```

Arrangement b

The following is a PBE calculation of a relaxed GeTeSN2 crystal, from the Alexandria database.

Calculated values
As for the space group: P4/mmm.

POSCAR file:
```
GeTeSN2
1.0
-2.2358 -2.7844 -1.5310
2.7652 -0.7826 -2.6148
1.9647 -3.2558 3.0521
N Ge S Te
2 1 1 1
Cartesian
-1.1179 -1.3922 -0.7655
1.3826 -0.3913 -1.3074
0.0000 0.0000 0.0000
0.9824 -1.6279 1.5261
1.2471 -3.4114 -0.5468
```

Arrangement c

The following is a PBE calculation of a relaxed GeTeSN2 crystal, from the Alexandria database.

Calculated values
As for the space group: P4/mmm.

POSCAR file:
```
GeTeSN2
1.0
3.7251 0.0000 0.0000
0.0000 3.7251 0.0000
0.0000 0.0000 7.0540
N Te Ge S
2 1 1 1
Cartesian
1.8625 0.0000 0.0000
0.0000 1.8625 0.0000
0.0000 0.0000 3.5270
0.0000 0.0000 0.0000
1.8625 1.8625 3.5270
```

Ranked by calculated energy, most stable first: arrangement b, arrangement c, arrangement a.

Arrangement a

The following is a PBE calculation of a relaxed TlGeS2N crystal, from the Alexandria database.

Calculated values
As for the space group: P4/mmm.

POSCAR file:
```
TlGeS2N
1.0
4.9816 0.0000 0.0000
0.0000 4.9816 0.0000
0.0000 0.0000 3.7342
S Tl N Ge
2 1 1 1
Cartesian
2.4908 0.0000 0.0000
0.0000 2.4908 0.0000
2.4908 2.4908 1.8671
0.0000 0.0000 1.8671
0.0000 0.0000 0.0000
```

Arrangement b

The following is a PBE calculation of a relaxed TlGeS2N crystal, from the Alexandria database.

Calculated values
As for the space group: P4/mmm.

POSCAR file:
```
TlGeS2N
1.0
-0.5471 -5.1988 0.3386
4.0852 -0.3607 1.0627
-1.2752 0.4638 5.0596
Tl N S Ge
1 1 2 1
Cartesian
0.0000 0.0000 0.0000
2.0426 -0.1803 0.5313
-0.2735 -2.5994 0.1693
-0.6376 0.2319 2.5298
1.1315 -2.5479 3.2305
```

Ranked by calculated energy, most stable first: arrangement a, arrangement b.

Arrangement a

The following is a PBE calculation of a relaxed VGeS2N crystal, from the Alexandria database.

Calculated values
As for the space group: P4/mmm.

POSCAR file:
```
VGeS2N
1.0
4.8002 0.0000 0.0000
0.0000 4.8002 0.0000
0.0000 0.0000 3.5319
Ge V S N
1 1 2 1
Cartesian
0.0000 0.0000 0.0000
2.4001 2.4001 1.7660
0.0000 2.4001 0.0000
2.4001 0.0000 0.0000
0.0000 0.0000 1.7660
```

Arrangement b

The following is a PBE calculation of a relaxed VGeS2N crystal, from the Alexandria database.

Calculated values
As for the space group: P4/mmm.

POSCAR file:
```
VGeS2N
1.0
-1.4244 -1.9915 4.0910
1.9887 -4.1282 -1.3172
3.1126 0.9985 1.5698
Ge S N V
1 2 1 1
Cartesian
1.8384 -2.5605 2.1718
-0.7122 -0.9957 2.0455
0.9943 -2.0641 -0.6586
1.5563 0.4993 0.7849
0.0000 0.0000 0.0000
```

Ranked by calculated energy, most stable first: arrangement b, arrangement a.

Arrangement a

The following is a PBE calculation of a relaxed GeWSN2 crystal, from the Alexandria database.

Calculated values
As for the space group: P4/mmm.

POSCAR file:
```
GeWSN2
1.0
-2.1137 -1.4228 2.7869
2.4770 -2.8158 0.4412
2.3441 2.5442 3.0767
S N Ge W
1 2 1 1
Cartesian
1.1721 1.2721 1.5384
1.2385 -1.4079 0.2206
-1.0568 -0.7114 1.3935
0.0000 0.0000 0.0000
1.3537 -0.8472 3.1524
```

Arrangement b

The following is a PBE calculation of a relaxed GeWSN2 crystal, from the Alexandria database.

Calculated values
As for the space group: P4/mmm.

POSCAR file:
```
GeWSN2
1.0
3.9280 0.0000 0.0000
0.0000 3.9280 0.0000
0.0000 0.0000 4.9740
S N Ge W
1 2 1 1
Cartesian
0.0000 0.0000 2.4870
1.9640 0.0000 0.0000
0.0000 1.9640 0.0000
1.9640 1.9640 2.4870
0.0000 0.0000 0.0000
```

Ranked by calculated energy, most stable first: arrangement b, arrangement a.

Arrangement a

The following is a PBE calculation of a relaxed GeWS2N crystal, from the Alexandria database.

Calculated values
As for the space group: P4/mmm.

POSCAR file:
```
GeWS2N
1.0
-4.4728 -0.3903 1.8040
0.7783 -4.6871 0.9155
1.3204 0.8966 3.4678
S W N Ge
2 1 1 1
Cartesian
0.3891 -2.3435 0.4578
-2.2364 -0.1952 0.9020
0.0000 0.0000 0.0000
0.6602 0.4483 1.7339
-1.1871 -2.0904 3.0937
```

Arrangement b

The following is a PBE calculation of a relaxed GeWS2N crystal, from the Alexandria database.

Calculated values
As for the space group: P4/mmm.

POSCAR file:
```
GeWS2N
1.0
4.8380 0.0000 0.0000
0.0000 4.8380 0.0000
0.0000 0.0000 3.4233
S W Ge N
2 1 1 1
Cartesian
0.0000 2.4190 0.0000
2.4190 0.0000 0.0000
2.4190 2.4190 1.7116
0.0000 0.0000 0.0000
0.0000 0.0000 1.7116
```

Ranked by calculated energy, most stable first: arrangement a, arrangement b.